(1)
Cd2AsRu | the Alexandria database | PBE | optimized geometry; E = -3.958 eV per atom; formation enthalpy at 0 K = -7 kJ/mol of formula units; space-group type = No. 160
1.0
3.111 0.000 0.000
-1.556 2.694 0.000
0.000 0.000 28.197
Cd As Ru
6 3 3
Cartesian
0.000 0.000 0.000
0.000 0.000 6.616
0.000 1.796 18.798
0.000 1.796 25.413
1.556 0.898 9.399
1.556 0.898 16.015
0.000 0.000 13.271
0.000 1.796 3.873
1.556 0.898 22.670
0.000 0.000 21.049
0.000 1.796 11.650
1.556 0.898 2.251

(2)
Y2ScAg | the Alexandria database | PBE | optimized geometry; E = -5.648 eV per atom; energy above the most stable polymorph in this dataset = 0 meV/atom; formation enthalpy at 0 K = -46 kJ/mol of formula units; space-group type = No. 44
1.0
3.626 0.000 0.000
0.000 5.253 0.000
0.000 0.000 11.099
Y Sc Ag
4 2 2
Cartesian
0.000 0.000 0.000
0.000 2.627 2.413
1.813 0.000 7.963
1.813 2.627 5.550
0.000 0.000 4.807
1.813 2.627 10.357
0.000 2.627 8.116
1.813 0.000 2.566

(3)
Dy2Y9Ho3 | the Alexandria database | PBE | optimized geometry; E = -5.673 eV per atom; formation enthalpy at 0 K = 163 kJ/mol of formula units; space-group type = No. 71
1.0
-2.816 5.399 7.445
2.816 -5.399 7.445
2.816 5.399 -7.445
Dy Y Ho
2 9 3
Cartesian
0.000 0.000 2.680
0.000 0.000 12.211
2.816 0.000 0.000
2.816 -1.705 4.134
2.816 3.694 -1.545
2.816 1.705 4.134
2.816 3.694 1.545
0.000 1.705 5.901
0.000 3.694 3.312
0.000 1.705 8.990
0.000 7.104 3.312
0.000 2.190 0.000
0.000 5.399 0.000
0.000 8.608 0.000

(4)
AlZn2AsW | the Alexandria database | PBE | optimized geometry; E = -3.714 eV per atom; formation enthalpy at 0 K = 513 kJ/mol of formula units; space-group type = No. 123
1.0
4.677 0.000 0.000
0.000 4.677 0.000
0.000 0.000 4.781
Al Zn As W
1 2 1 1
Cartesian
0.000 0.000 0.000
0.000 2.339 2.391
2.339 0.000 2.391
2.339 2.339 2.391
2.339 2.339 0.000

(5)
Y3HgC | the Alexandria database | PBE | optimized geometry; E = -6.037 eV per atom; energy above the most stable polymorph in this dataset = 175 meV/atom; formation enthalpy at 0 K = -122 kJ/mol of formula units; space-group type = No. 51
1.0
6.401 0.000 0.000
0.000 5.092 0.000
0.000 0.000 7.275
Y Hg C
6 2 2
Cartesian
0.000 0.000 0.000
1.600 0.000 2.996
1.600 2.546 5.287
3.200 0.000 0.000
4.801 0.000 4.280
4.801 2.546 1.988
1.600 2.546 1.255
4.801 2.546 6.021
1.600 0.000 5.351
4.801 0.000 1.925

(6)
CaMoPd | the Alexandria database | PBE | optimized geometry; E = -5.498 eV per atom; energy above the most stable polymorph in this dataset = 611 meV/atom; formation enthalpy at 0 K = 148 kJ/mol of formula units; space-group type = No. 194
1.0
4.352 0.000 0.000
-2.176 3.769 0.000
0.000 0.000 8.606
Ca Mo Pd
2 2 2
Cartesian
0.000 0.000 0.000
0.000 0.000 4.303
0.000 2.512 2.151
2.176 1.256 6.454
0.000 2.512 6.454
2.176 1.256 2.151

(7)
TiBe2F | the Alexandria database | PBE | optimized geometry; ΔE_f (raw) = 0.424 eV/atom; E = -3.880 eV per atom; energy above the most stable polymorph in this dataset = 547 meV/atom; space-group type = No. 225
1.0
5.838 0.000 0.000
0.000 5.838 0.000
0.000 0.000 5.838
Ti Be F
4 8 4
Cartesian
0.000 0.000 0.000
0.000 2.919 2.919
2.919 0.000 2.919
2.919 2.919 0.000
1.459 1.459 1.459
1.459 1.459 4.378
1.459 4.378 1.459
1.459 4.378 4.378
4.378 1.459 1.459
4.378 1.459 4.378
4.378 4.378 1.459
4.378 4.378 4.378
0.000 0.000 2.919
0.000 2.919 0.000
2.919 0.000 0.000
2.919 2.919 2.919

(8)
BeTeP2Cl | the Alexandria database | PBE | optimized geometry; ΔE_f (raw) = 1.341 eV/atom; E = -2.565 eV per atom; energy above the most stable polymorph in this dataset = 978 meV/atom; space-group type = No. 123
1.0
5.100 0.000 0.000
0.000 5.100 0.000
0.000 0.000 5.161
Be Te P Cl
1 1 2 1
Cartesian
0.000 0.000 0.000
2.550 2.550 2.580
0.000 2.550 2.580
2.550 0.000 2.580
2.550 2.550 0.000

(9)
PmMg5Pt6 | the Alexandria database | PBE | optimized geometry; E = -4.941 eV per atom; formation enthalpy at 0 K = -996 kJ/mol of formula units; space-group type = No. 10
1.0
4.560 0.000 0.000
0.000 6.671 0.000
-1.612 0.000 6.814
Pm Mg Pt
1 5 6
Cartesian
0.000 0.000 0.000
0.000 3.336 0.000
0.468 0.000 4.464
0.446 3.336 4.564
2.502 3.336 2.250
2.481 0.000 2.350
0.231 1.751 2.343
0.231 4.920 2.343
2.280 1.803 0.000
2.280 4.868 0.000
2.718 1.751 4.471
2.718 4.920 4.471

(10)
KSbPdPt | the Alexandria database | PBE | optimized geometry; ΔE_f (raw) = -0.138 eV/atom; E = -4.251 eV per atom; space-group type = No. 129
1.0
3.900 0.000 0.000
0.000 3.900 0.000
0.000 0.000 14.133
K Sb Pd Pt
2 2 2 2
Cartesian
0.975 0.975 2.660
2.925 2.925 11.474
0.975 0.975 8.937
2.925 2.925 5.197
0.975 2.925 0.000
2.925 0.975 0.000
0.975 2.925 7.067
2.925 0.975 7.067

(11)
UTa2BeC4 | the Alexandria database | PBE | optimized geometry; E = -9.837 eV per atom; formation enthalpy at 0 K = -298 kJ/mol of formula units; space-group type = No. 63
1.0
1.596 -5.242 0.000
1.596 5.242 0.000
0.000 0.000 10.715
U Ta Be C
2 4 2 8
Cartesian
1.596 4.105 8.036
1.596 -4.105 2.679
1.596 1.382 5.923
1.596 1.382 10.149
1.596 -1.382 0.566
1.596 -1.382 4.792
1.596 3.566 2.679
1.596 -3.566 8.036
0.000 0.000 0.000
0.000 0.000 5.358
1.596 2.395 1.314
1.596 2.395 4.044
1.596 0.672 8.036
1.596 -0.672 2.679
1.596 -2.395 6.671
1.596 -2.395 9.401

(12)
CuHg3Pd3 | the Alexandria database | PBE | optimized geometry; E = -3.026 eV per atom; formation enthalpy at 0 K = -58 kJ/mol of formula units; space-group type = No. 12
1.0
4.599 -4.388 0.000
4.599 4.388 0.000
-0.002 0.000 6.390
Cu Hg Pd
2 6 6
Cartesian
2.293 0.000 3.189
6.903 0.000 3.200
2.349 0.000 0.006
4.599 2.085 0.000
4.598 1.677 3.195
4.598 -1.677 3.195
4.599 -2.085 0.000
6.847 0.000 6.383
9.193 0.000 1.786
0.003 0.000 4.604
2.298 2.190 4.683
6.898 -2.190 1.706
2.298 -2.190 4.683
6.898 2.190 1.706

(13)
BaCa2Ir | the Alexandria database | PBE | optimized geometry; E = -3.795 eV per atom; energy above the most stable polymorph in this dataset = 141 meV/atom; formation enthalpy at 0 K = -38 kJ/mol of formula units; space-group type = No. 71
1.0
3.776 0.000 0.000
0.000 5.836 0.000
0.000 0.000 12.434
Ba Ca Ir
2 4 2
Cartesian
0.000 0.000 0.000
1.888 2.918 6.217
0.000 2.918 2.148
0.000 2.918 10.286
1.888 0.000 4.069
1.888 0.000 8.365
0.000 0.000 6.217
1.888 2.918 0.000

(14)
CaSm4Dy5 | the Alexandria database | PBE | optimized geometry; E = -4.351 eV per atom; formation enthalpy at 0 K = 36 kJ/mol of formula units; space-group type = No. 123
1.0
3.614 0.000 0.000
0.000 3.614 0.000
0.000 0.000 25.498
Ca Sm Dy
1 4 5
Cartesian
0.000 0.000 0.000
0.000 0.000 5.185
0.000 0.000 10.225
0.000 0.000 15.273
0.000 0.000 20.313
1.807 1.807 2.783
1.807 1.807 7.728
1.807 1.807 12.749
1.807 1.807 17.770
1.807 1.807 22.715

(15)
MgZnPb2 | the Alexandria database | PBE | optimized geometry; E = -2.490 eV per atom; energy above the most stable polymorph in this dataset = 71 meV/atom; formation enthalpy at 0 K = 31 kJ/mol of formula units; space-group type = No. 166
1.0
3.681 0.000 0.000
-1.841 3.188 0.000
0.000 0.000 26.649
Mg Zn Pb
3 3 6
Cartesian
0.000 0.000 0.000
0.000 2.125 17.766
1.841 1.063 8.883
0.000 0.000 13.325
0.000 2.125 4.442
1.841 1.063 22.208
0.000 0.000 6.502
0.000 0.000 20.147
0.000 2.125 11.264
0.000 2.125 24.268
1.841 1.063 2.381
1.841 1.063 15.385

(16)
Ac2LaPr | the Alexandria database | PBE | optimized geometry; E = -4.355 eV per atom; energy above the most stable polymorph in this dataset = 112 meV/atom; formation enthalpy at 0 K = 49 kJ/mol of formula units; space-group type = No. 225
1.0
8.692 0.000 0.000
0.000 8.692 0.000
0.000 0.000 8.692
Ac La Pr
8 4 4
Cartesian
2.173 2.173 2.173
2.173 2.173 6.519
2.173 6.519 2.173
2.173 6.519 6.519
6.519 2.173 2.173
6.519 2.173 6.519
6.519 6.519 2.173
6.519 6.519 6.519
0.000 0.000 0.000
0.000 4.346 4.346
4.346 0.000 4.346
4.346 4.346 0.000
0.000 0.000 4.346
0.000 4.346 0.000
4.346 0.000 0.000
4.346 4.346 4.346

(17)
PrPuHgBi | the Alexandria database | PBE | optimized geometry; E = -6.219 eV per atom; formation enthalpy at 0 K = -153 kJ/mol of formula units; space-group type = No. 216
1.0
7.779 0.000 0.000
0.000 7.779 0.000
0.000 0.000 7.779
Pr Pu Hg Bi
4 4 4 4
Cartesian
0.000 0.000 0.000
0.000 3.889 3.889
3.889 0.000 3.889
3.889 3.889 0.000
0.000 0.000 3.889
0.000 3.889 0.000
3.889 0.000 0.000
3.889 3.889 3.889
1.945 1.945 1.945
1.945 5.834 5.834
5.834 1.945 5.834
5.834 5.834 1.945
1.945 1.945 5.834
1.945 5.834 1.945
5.834 1.945 1.945
5.834 5.834 5.834

(18)
TiMnBi2Rh | the Alexandria database | PBE | optimized geometry; E = -5.638 eV per atom; formation enthalpy at 0 K = 385 kJ/mol of formula units; space-group type = No. 123
1.0
5.157 0.000 0.000
0.000 5.157 0.000
0.000 0.000 4.554
Ti Mn Bi Rh
1 1 2 1
Cartesian
0.000 0.000 0.000
2.578 2.578 2.277
0.000 2.578 2.277
2.578 0.000 2.277
2.578 2.578 0.000

(19)
GaCuSi | the Alexandria database | PBE | optimized geometry; ΔE_f (raw) = 0.184 eV/atom; E = -3.998 eV per atom; space-group type = No. 62
1.0
5.762 0.000 0.000
0.000 3.863 0.000
0.000 0.000 9.091
Ga Cu Si
4 4 4
Cartesian
1.107 0.966 1.093
1.774 2.897 5.639
3.988 0.966 3.452
4.655 2.897 7.998
0.075 2.897 3.712
2.806 0.966 8.258
2.956 2.897 0.834
5.687 0.966 5.379
1.345 2.897 8.113
1.536 0.966 3.568
4.226 2.897 5.523
4.417 0.966 0.978

(20)
CuSnP2O | the Alexandria database | PBE | optimized geometry; ΔE_f (raw) = 0.727 eV/atom; E = -4.048 eV per atom; energy above the most stable polymorph in this dataset = 395 meV/atom; space-group type = No. 123
1.0
5.164 0.000 0.000
0.000 5.164 0.000
0.000 0.000 3.841
Cu Sn P O
1 1 2 1
Cartesian
0.000 0.000 0.000
2.582 2.582 1.921
0.000 2.582 1.921
2.582 0.000 1.921
2.582 2.582 0.000